LiInAg2Hg after structural relaxation, computed with PBE.

abc: 5.183 4.887 8.182
angles: 90.00 107.48 90.00
Fractional coordinates of all 10 atoms:
Li 0.139 0.250 0.104
Li 0.861 0.750 0.896
In 0.304 0.250 0.500
In 0.696 0.750 0.500
Ag 0.293 0.750 0.715
Ag 0.467 0.750 0.088
Ag 0.533 0.250 0.912
Ag 0.707 0.250 0.285
Hg 0.054 0.750 0.255
Hg 0.946 0.250 0.745

The calculation puts the volume at 197.7 Å³ per cell. For the formation energy from the elements, the calculation gives -0.116 eV per atom.